## LaNd4SmDy2 (PBE)

Data for an optimized crystal structure of LaNd4SmDy2.

The structure in CIF format:
```
data_LaNd4SmDy2
_cell_length_a 3.6612
_cell_length_b 12.0945
_cell_length_c 6.3120
_cell_angle_alpha 79.77
_cell_angle_beta 90.00
_cell_angle_gamma 90.00
_space_group_name_H-M_alt 'P 1'
_space_group_IT_number 1
loop_
_space_group_symop_operation_xyz
'x,y,z'
loop_
_atom_site_label
_atom_site_type_symbol
_atom_site_fract_x
_atom_site_fract_y
_atom_site_fract_z
Nd1 Nd 0.5000 0.7537 0.2498
Nd2 Nd 0.0000 0.2450 0.2507
Nd3 Nd 0.0000 0.7550 0.7493
Nd4 Nd 0.5000 0.2463 0.7502
Dy1 Dy 0.0000 0.0000 0.0000
Dy2 Dy 0.5000 0.0000 0.5000
Sm1 Sm 0.0000 0.5000 0.5000
La1 La 0.5000 0.5000 0.0000
```

Computed properties:
uncorrected energy	-4.722	eV per atom
crystal system	monoclinic
formation energy	0.02	eV per atom
total magnetization	0.00	μB per atom